First-principles (PBE) data for a geometry-optimized CdTeN2F structure, as listed in the Alexandria database.

```
data_CdTeN2F
_chemical_formula_sum 'Cd1 Te1 N2 F1'
_symmetry_space_group_name_H-M 'P 4/m m m'
_symmetry_Int_Tables_number 123
_symmetry_space_group_name_Hall '-P 4 2'
_cell_length_a 4.295
_cell_length_b 4.295
_cell_length_c 4.157
_cell_angle_alpha 90.00
_cell_angle_beta 90.00
_cell_angle_gamma 90.00
loop_
_atom_site_label
_atom_site_type_symbol
_atom_site_fract_x
_atom_site_fract_y
_atom_site_fract_z
Cd1 Cd 0.000 0.000 0.000
Te1 Te 0.500 0.500 0.500
N1 N 0.000 0.500 0.000
F1 F 0.000 0.000 0.500
```

Summary:
* polymorph energy (0 for the lowest one): 504 meV/atom
* formation energy from raw total energies: 1.105 eV per atom
* theoretical density: 6.216 g/cm³
* spin magnetization: 0.00 μB/atom